(A)
# PBE LaAl4Cu4, optimized geometry
# Calculated density (g/cm³): 5.22
# Magnetization (μB per cell): 0.00
# N(E_F) (states/eV/atom): 0.5430
data_LaAl4Cu4
_chemical_formula_sum 'La2 Al8 Cu8'
_cell_length_a 8.443
_cell_length_b 8.443
_cell_length_c 4.471
_cell_angle_alpha 90.00
_cell_angle_beta 90.00
_cell_angle_gamma 90.00
_space_group_name_H-M_alt 'I 4/m'
_space_group_IT_number 87
_space_group_name_Hall '-I 4'
loop_
_atom_site_label
_atom_site_type_symbol
_atom_site_fract_x
_atom_site_fract_y
_atom_site_fract_z
_atom_site_occupancy
La1 La 0.000 0.000 0.000 1
Al1 Al 0.106 0.614 0.500 1
Cu1 Cu 0.176 0.296 0.500 1

---

(B)
# PBE LaAl4Cu4, optimized geometry
# Calculated density (g/cm³): 5.50
# Magnetization (μB per cell): 0.00
# N(E_F) (states/eV/atom): 0.4310
data_LaAl4Cu4
_chemical_formula_sum 'La2 Al8 Cu8'
_cell_length_a 5.983
_cell_length_b 5.983
_cell_length_c 8.449
_cell_angle_alpha 90.00
_cell_angle_beta 90.00
_cell_angle_gamma 90.00
_space_group_name_H-M_alt 'P 42/n m c'
_space_group_IT_number 137
loop_
_space_group_symop_operation_xyz
'x,y,z'
'-x,-y,-z'
'-y+1/2,x,z+1/2'
'y+1/2,-x,-z+1/2'
'-x+1/2,-y+1/2,z'
'x+1/2,y+1/2,-z'
'y,-x+1/2,z+1/2'
'-y,x+1/2,-z+1/2'
'x+1/2,-y,-z'
'-x+1/2,y,z'
'-y,-x,-z+1/2'
'y,x,z+1/2'
'-x,y+1/2,-z'
'x,-y+1/2,z'
'y+1/2,x+1/2,-z+1/2'
'-y+1/2,-x+1/2,z+1/2'
loop_
_atom_site_label
_atom_site_type_symbol
_atom_site_fract_x
_atom_site_fract_y
_atom_site_fract_z
_atom_site_occupancy
La1 La 0.250 0.750 0.250 1
Al1 Al 0.013 0.250 0.141 1
Cu1 Cu 0.048 0.250 0.436 1

---

Most stable one: (B), least stable one: (A).

---

(A)
# PBE La4AlCu, optimized geometry
# Calculated density (g/cm³): 5.76
# Magnetization (μB per cell): 0.00
# N(E_F) (states/eV/atom): 1.1096
data_La4AlCu
_chemical_formula_sum 'La16 Al4 Cu4'
_cell_length_a 7.244
_cell_length_b 7.244
_cell_length_c 14.188
_cell_angle_alpha 90.00
_cell_angle_beta 90.00
_cell_angle_gamma 90.00
_space_group_name_H-M_alt 'I 4/m c m'
_space_group_IT_number 140
_space_group_name_Hall '-I 4 2c'
loop_
_atom_site_label
_atom_site_type_symbol
_atom_site_fract_x
_atom_site_fract_y
_atom_site_fract_z
_atom_site_occupancy
La1 La 0.177 0.323 0.131 1
Al1 Al 0.000 0.000 0.000 1
Cu1 Cu 0.000 0.000 0.250 1

---

(B)
# PBE La4AlCu, optimized geometry
# Calculated density (g/cm³): 5.79
# Magnetization (μB per cell): 0.00
# N(E_F) (states/eV/atom): 1.3550
data_La4AlCu
_chemical_formula_sum 'La16 Al4 Cu4'
_cell_length_a 9.048
_cell_length_b 9.048
_cell_length_c 9.048
_cell_angle_alpha 90.00
_cell_angle_beta 90.00
_cell_angle_gamma 90.00
_space_group_name_H-M_alt 'F -4 3 m'
_space_group_IT_number 216
_space_group_name_Hall 'F -4 2 3'
loop_
_atom_site_label
_atom_site_type_symbol
_atom_site_fract_x
_atom_site_fract_y
_atom_site_fract_z
_atom_site_occupancy
La1 La 0.124 0.124 0.124 1
Al1 Al 0.250 0.250 0.750 1
Cu1 Cu 0.000 0.000 0.500 1

---

Most stable one: (A), least stable one: (B).